No. 1
## LaNbSn2 (PBE)

Data for a relaxed LaNbSn2 crystal.

Calculated values
Energy, eV for the cell shown: -94.3
E above lowest polymorph, meV per atom: 0

abc: 7.380 7.380 7.380
angles: 90.00 90.00 90.00
Space group Fm-3m (No. 225)
Inequivalent atoms, fractional coordinates:
La 0.000 0.000 0.000 x4
Nb 0.000 0.000 0.500 x4
Sn 0.250 0.250 0.250 x8



No. 2
## LaZrNbSn2 (PBE)

Data for a relaxed LaZrNbSn2 crystal.

Calculated values
Energy, eV for the cell shown: -24.5

abc: 5.695 5.695 4.983
angles: 90.00 90.00 90.00
Space group P4/mmm (No. 123)
Inequivalent atoms, fractional coordinates:
La 0.000 0.000 0.000 x1
Zr 0.500 0.500 0.500 x1
Nb 0.000 0.000 0.500 x1
Sn 0.000 0.500 0.000 x2



No. 3
## SrLa2Nb (PBE)

Data for a relaxed SrLa2Nb crystal.

Calculated values
Energy, eV for the cell shown: -76.0
E above lowest polymorph, meV per atom: 133

abc: 8.861 8.861 7.316
angles: 90.00 90.00 90.00
Space group I-42d (No. 122)
Inequivalent atoms, fractional coordinates:
Sr 0.000 0.000 0.000 x4
La 0.147 0.250 0.625 x8
Nb 0.000 0.000 0.500 x4



No. 4
## SrLaNb3 (PBE)

Data for a relaxed SrLaNb3 crystal.

Calculated values
Energy, eV for the cell shown: -29.4
E above lowest polymorph, meV per atom: 0

abc: 5.083 5.083 5.083
angles: 90.00 90.00 90.00
Space group Pm-3m (No. 221)
Inequivalent atoms, fractional coordinates:
Sr 0.000 0.000 0.000 x1
La 0.500 0.500 0.500 x1
Nb 0.000 0.500 0.500 x3



| no. | DOS at the Fermi energy (states/eV/atom) | energy of formation (eV per atom) |
| --- | --- | --- |
| 1 | 1.2721 | -0.1409 |
| 2 | 1.3415 | 1.4164 |
| 3 | 2.2327 | 0.6544 |
| 4 | 1.1117 | 1.4809 |